The following is a DFT calculation (PBE) of Co2Ni5Pt after structural relaxation.

Calculated values
**Excess energy over the best structure of this formula in the dataset**: 0 kJ/mol of formula units
**Raw total energy**: -6.1709 eV/atom
**Formation energy from the elements**: -0.026 eV/atom

a = 5.0969 Å, b = 10.1805 Å, c = 3.5779 Å
α = 90.00°, β = 90.00°, γ = 90.00°
Space group Pbam (No. 55)
One atom of each set of equivalent atoms:
Co 0.2422 0.1294 0.0000 [4 per cell]
Ni 0.0000 0.0000 0.5000 [2 per cell]
Ni 0.0011 0.2478 0.5000 [4 per cell]
Ni 0.2422 0.8712 0.0000 [4 per cell]
Pt 0.0000 0.5000 0.5000 [2 per cell]



The following is a DFT calculation (PBE) of NaBi after structural relaxation.

Calculated values
**Excess energy over the best structure of this formula in the dataset**: 47 kJ/mol of formula units
**Raw total energy**: -2.6626 eV/atom
**Formation energy from the elements**: -0.063 eV/atom

a = 9.3498 Å, b = 9.7052 Å, c = 11.7197 Å
α = 90.00°, β = 90.00°, γ = 90.00°
Space group Fddd (No. 70, origin choice 2)
One atom of each set of equivalent atoms:
Na 0.0546 0.3750 0.3750 [16 per cell]
Bi 0.1250 0.2805 0.6250 [16 per cell]



The following is a DFT calculation (PBE) of Li4Pt5 after structural relaxation.

Calculated values
**Excess energy over the best structure of this formula in the dataset**: 80 kJ/mol of formula units
**Raw total energy**: -4.5648 eV/atom
**Formation energy from the elements**: -0.358 eV/atom

a = 7.4374 Å, b = 7.4374 Å, c = 5.2996 Å
α = 90.00°, β = 90.00°, γ = 120.00°
Space group P6_3/mcm (No. 193)
One atom of each set of equivalent atoms:
Li 0.0000 0.0000 0.0000 [2 per cell]
Li 0.0000 0.3390 0.2500 [6 per cell]
Pt 0.0000 0.3365 0.7500 [6 per cell]
Pt 0.3333 0.6667 0.0000 [4 per cell]